A relaxed structure of LiMgPt2, computed with PBE-GGA.

a = 4.666 Å, b = 4.666 Å, c = 4.666 Å
α = 129.17°, β = 129.17°, γ = 74.74°
Sites, in units of the cell vectors:
1 Li 0.000 0.000 0.000
2 Mg 0.500 0.500 0.000
3 Pt 0.250 0.750 0.500
4 Pt 0.750 0.250 0.500

Values from the calculation:
ΔH_f (0 K) ... -720 meV per atom
Size of the total moment ... 0.0 μB/f.u.
Crystal system ... tetragonal
DOS at the Fermi energy ... 0.338 states/eV per atom
Space-group type ... No. 139